Entry 1:
Computed, not measured: crystalline CrCoIO2 at its relaxed geometry at the GGA+U level of DFT.

Cell: 3.712 3.712 6.883 Å, 90.00 90.00 90.00°
Last column: magnetic moment on the atom in μB.
Fractional coordinates of all 5 atoms:
Co  0.500  0.500  0.500  1.86
I  0.000  0.000  0.500  0.03
Cr  0.000  0.000  0.000  -0.56
O  0.000  0.500  0.000  0.17
O  0.500  0.000  0.000  0.17

Entry 2:
Computed, not measured: crystalline CrCoI2O at its relaxed geometry at the GGA+U level of DFT.

Cell: 5.579 5.579 3.590 Å, 90.00 90.00 90.00°
Last column: magnetic moment on the atom in μB.
Fractional coordinates of all 5 atoms:
O  0.000  0.000  0.500  -0.41
I  0.500  0.000  0.000  -0.07
I  0.000  0.500  0.000  -0.07
Co  0.000  0.000  0.000  0.02
Cr  0.500  0.500  0.500  4.43

We obtain energy above the lowest structure with this stoichiometry values of 0.00, 0.00 eV/f.u. for the records listed above, in that order.
We obtain total DFT energy (no corrections) values of -5.074, -4.076 eV per atom for the records listed above, in that order.